# 1
# Li2CaHfF8 PBE optimized geometry
data_Li2CaHfF8
_chemical_formula_sum 'Li2 Ca1 Hf1 F8'
_cell_length_a 4.818
_cell_length_b 4.840
_cell_length_c 6.957
_cell_angle_alpha 86.64
_cell_angle_beta 86.74
_cell_angle_gamma 86.53
_space_group_name_H-M_alt 'P -1'
_space_group_IT_number 2
loop_
_space_group_symop_operation_xyz
'x,y,z'
'-x,-y,-z'
loop_
_atom_site_label
_atom_site_type_symbol
_atom_site_fract_x
_atom_site_fract_y
_atom_site_fract_z
_atom_site_occupancy
Li1 Li 0.027 0.027 0.291 1
Ca1 Ca 0.500 0.500 0.500 1
Hf1 Hf 0.500 0.500 0.000 1
F1 F 0.187 0.188 0.506 1
F2 F 0.216 0.218 0.035 1
F3 F 0.295 0.697 0.779 1
F4 F 0.304 0.705 0.220 1
# Final energy = -6.09 eV/atom
# Formation energy (no corrections) = -3529 meV per atom

# 2
# YV2Ru2 PBE optimized geometry
data_YV2Ru2
_chemical_formula_sum 'Y2 V4 Ru4'
_cell_length_a 7.519
_cell_length_b 7.519
_cell_length_c 2.862
_cell_angle_alpha 90.00
_cell_angle_beta 90.00
_cell_angle_gamma 90.00
_space_group_name_H-M_alt 'P 4/m b m'
_space_group_IT_number 127
_space_group_name_Hall '-P 4 2ab'
loop_
_atom_site_label
_atom_site_type_symbol
_atom_site_fract_x
_atom_site_fract_y
_atom_site_fract_z
_atom_site_occupancy
Y1 Y 0.000 0.000 0.000 1
V1 V 0.141 0.359 0.000 1
Ru1 Ru 0.148 0.648 0.500 1
# Energy of formation = -55 meV per atom
# Final energy = -8.71 eV/atom
# E above lowest polymorph = 200.5 meV per atom

# 3
# Pu3CCl3 PBE optimized geometry
data_Pu3CCl3
_chemical_formula_sum 'Pu6 C2 Cl6'
_cell_length_a 8.064
_cell_length_b 3.678
_cell_length_c 10.920
_cell_angle_alpha 90.00
_cell_angle_beta 90.72
_cell_angle_gamma 90.00
_space_group_name_H-M_alt 'P 1 21/m 1'
_space_group_IT_number 11
loop_
_space_group_symop_operation_xyz
'x,y,z'
'-x,-y,-z'
'-x,y+1/2,-z'
'x,-y+1/2,z'
loop_
_atom_site_label
_atom_site_type_symbol
_atom_site_fract_x
_atom_site_fract_y
_atom_site_fract_z
_atom_site_occupancy
Pu1 Pu 0.092 0.250 0.393 1
Pu2 Pu 0.114 0.250 0.852 1
Pu3 Pu 0.331 0.750 0.619 1
C1 C 0.130 0.250 0.631 1
Cl1 Cl 0.148 0.250 0.123 1
Cl2 Cl 0.371 0.750 0.873 1
Cl3 Cl 0.378 0.750 0.363 1
# Final energy = -9.38 eV/atom
# E above lowest polymorph = 0.0 meV per atom
# Formation energy (no corrections) = -1126 meV per atom

- Among the records above, which one has the highest final energy?
  Li2CaHfF8